Entry from Alexandria: a relaxed structure of LiV3O4 (PBE+U).

```
LiV3O4
1.0
3.094 0.000 0.000
0.000 5.325 0.013
0.000 -1.746 5.033
O V Li
4 3 1
Cartesian
1.547 3.477 1.325 O
0.000 2.617 3.688 O
0.000 0.963 1.357 O
1.547 0.102 3.721 O
0.000 2.663 0.006 V
1.547 1.790 2.523 V
0.000 -0.873 2.516 V
1.547 0.000 0.000 Li
```

Computed properties:
ΔE to the lowest computed polymorph (meV/atom): 0
Spin magnetization (μB per atom): 1.00
Total DFT energy (no corrections) (eV/atom): -7.358